Below is crystalline CuPbF3 at its relaxed geometry, with properties calculated at the PBE level.

Results
For the total energy, the calculation gives -4.28 eV per atom. Its space group is Pm-3m, No. 221. The offset from the most stable computed form is 1.06 eV/f.u. For the density, the calculation gives 7.4 g/cm3. For the uncorrected formation energy, the calculation gives -1.594 eV/atom. The value obtained for the total magnetization is 0.035 μB per atom.

Lattice parameters (Å, degrees): 4.183 4.183 4.183 90.00 90.00 90.00
Each line ends with the local moment (μB).
Sites, in units of the cell vectors:
1 F 0.500 0.000 0.000  0.02
2 Cu 0.000 0.000 0.000  0.17
3 Pb 0.500 0.500 0.500  -0.01
4 F 0.000 0.500 0.000  0.01
5 F 0.000 0.000 0.500  0.00

Below is crystalline Cu2PbF8 at its relaxed geometry, with properties calculated at the PBE level.

Results
For the total energy, the calculation gives -4.02 eV per atom. Its space group is P-3, No. 147. The offset from the most stable computed form is 0.00 eV/f.u. For the density, the calculation gives 5.4 g/cm3. For the uncorrected formation energy, the calculation gives -1.581 eV/atom. The value obtained for the total magnetization is 0.022 μB per atom.

Lattice parameters (Å, degrees): 3.880 6.697 6.697 120.01 90.00 90.00
Each line ends with the local moment (μB).
Sites, in units of the cell vectors:
1 F 0.248 0.667 0.333  0.00
2 F 0.738 0.837 0.671  0.01
3 F 0.738 0.329 0.165  0.01
4 F 0.752 0.333 0.667  0.00
5 Cu 0.748 0.667 0.333  0.10
6 Pb 0.000 0.000 0.000  -0.01
7 F 0.262 0.163 0.329  0.01
8 Cu 0.252 0.333 0.667  0.10
9 F 0.738 0.835 0.163  0.01
10 F 0.262 0.671 0.835  0.01
11 F 0.262 0.165 0.837  0.01

Below is crystalline CuPbF2 at its relaxed geometry, with properties calculated at the PBE level.

Results
For the total energy, the calculation gives -4.11 eV per atom. Its space group is R-3m, No. 166. The offset from the most stable computed form is 0.15 eV/f.u. For the density, the calculation gives 7.4 g/cm3. For the uncorrected formation energy, the calculation gives -1.218 eV/atom. The value obtained for the total magnetization is 0.082 μB per atom.

Lattice parameters (Å, degrees): 7.298 7.298 7.298 26.72 26.72 26.72
Each line ends with the local moment (μB).
Sites, in units of the cell vectors:
1 Pb 0.000 0.000 0.000  0.00
2 F 0.118 0.118 0.118  0.02
3 Cu 0.500 0.500 0.500  0.29
4 F 0.882 0.882 0.882  0.02

Below is crystalline CuPb2F11 at its relaxed geometry, with properties calculated at the PBE level.

Results
For the total energy, the calculation gives -3.91 eV per atom. Its space group is Ibam, No. 72. For the density, the calculation gives 5.2 g/cm3. For the uncorrected formation energy, the calculation gives -1.614 eV/atom. The value obtained for the total magnetization is 0.011 μB per atom.

Lattice parameters (Å, degrees): 8.227 8.374 8.374 77.58 60.58 60.58
Sites, in units of the cell vectors:
1 F 0.189 0.195 0.805
2 F 0.033 0.968 0.668
3 F 0.533 0.168 0.468
4 F 0.000 0.000 0.000
5 F 0.689 0.305 0.695
6 F 0.332 0.668 0.968
7 Pb 0.574 0.700 0.300
8 F 0.467 0.832 0.532
9 Pb 0.426 0.300 0.700
10 F 0.811 0.805 0.195
11 F 0.967 0.032 0.332
12 F 0.368 0.005 0.244
13 Pb 0.926 0.200 0.800
14 Pb 0.074 0.800 0.200
15 F 0.500 0.500 0.500
16 F 0.632 0.995 0.756
17 F 0.132 0.256 0.495
18 Cu 0.750 0.750 0.750
19 Cu 0.250 0.250 0.250
20 F 0.868 0.744 0.505
21 F 0.168 0.532 0.832
22 F 0.116 0.495 0.256
23 F 0.668 0.332 0.032
24 F 0.384 0.244 0.005
25 F 0.311 0.695 0.305
26 F 0.616 0.756 0.995
27 F 0.884 0.505 0.744
28 F 0.832 0.468 0.168

Which of these has the lowest total energy? CuPbF3

What is the uncorrected formation energy in the third record? -1.218 eV/atom